(1)
# CdSbMo2 (PBE, optimized geometry)
data_CdSbMo2
_symmetry_space_group_name_H-M 'P 4/m m m'
_symmetry_Int_Tables_number 123
_symmetry_space_group_name_Hall '-P 4 2'
_cell_length_a 3.3228
_cell_length_b 3.3228
_cell_length_c 6.7076
_cell_angle_alpha 90.00
_cell_angle_beta 90.00
_cell_angle_gamma 90.00
loop_
_atom_site_label
_atom_site_fract_x
_atom_site_fract_y
_atom_site_fract_z
Cd1 0.0000 0.0000 0.0000
Sb1 0.0000 0.0000 0.5000
Mo1 0.5000 0.5000 0.2822
# formation energy without anion corrections	0.508	eV/atom
# D(E_F)	1.06	states/eV/atom
# relative energy among the computed polymorphs	0.275	eV per atom
# total magnetization	0.00	μB per formula unit

---

(2)
# SiNi2Ir (PBE, optimized geometry)
data_SiNi2Ir
_symmetry_space_group_name_H-M 'P m m m'
_symmetry_Int_Tables_number 47
_symmetry_space_group_name_Hall '-P 2 2'
_cell_length_a 2.6479
_cell_length_b 3.4876
_cell_length_c 5.2041
_cell_angle_alpha 90.00
_cell_angle_beta 90.00
_cell_angle_gamma 90.00
loop_
_atom_site_label
_atom_site_fract_x
_atom_site_fract_y
_atom_site_fract_z
Si1 0.0000 0.0000 0.0000
Ni1 0.5000 0.5000 0.2322
Ir1 0.0000 0.0000 0.5000
# formation energy without anion corrections	-0.214	eV/atom
# D(E_F)	0.74	states/eV/atom
# total magnetization	0.00	μB per formula unit

---

(3)
# SrLaIO2 (PBE, optimized geometry)
data_SrLaIO2
_symmetry_space_group_name_H-M 'P 1 21/m 1'
_symmetry_Int_Tables_number 11
_symmetry_space_group_name_Hall '-P 2yb'
_cell_length_a 7.4802
_cell_length_b 4.3906
_cell_length_c 8.4295
_cell_angle_alpha 90.00
_cell_angle_beta 105.63
_cell_angle_gamma 90.00
loop_
_atom_site_label
_atom_site_fract_x
_atom_site_fract_y
_atom_site_fract_z
Sr1 0.1514 0.2500 0.4166
La1 0.1441 0.2500 0.9037
I1 0.4587 0.7500 0.7429
O1 0.0045 0.7500 0.3614
O2 0.0187 0.7500 0.8926
# formation energy without anion corrections	-2.829	eV/atom
# D(E_F)	0.00	states/eV/atom
# relative energy among the computed polymorphs	0.000	eV per atom
# total magnetization	0.00	μB per formula unit

---

(4)
# SrErMgSn (PBE, optimized geometry)
data_SrErMgSn
_symmetry_space_group_name_H-M 'F -4 3 m'
_symmetry_Int_Tables_number 216
_symmetry_space_group_name_Hall 'F -4 2 3'
_cell_length_a 7.7643
_cell_length_b 7.7643
_cell_length_c 7.7643
_cell_angle_alpha 90.00
_cell_angle_beta 90.00
_cell_angle_gamma 90.00
loop_
_atom_site_label
_atom_site_fract_x
_atom_site_fract_y
_atom_site_fract_z
Sr1 0.0000 0.0000 0.0000
Er1 0.0000 0.0000 0.5000
Mg1 0.2500 0.2500 0.7500
Sn1 0.2500 0.2500 0.2500
# total energy	-52.211	eV for the cell shown
# D(E_F)	0.79	states/eV/atom
# total magnetization	0.00	μB per formula unit

---

(5)
# Na2LaCd (PBE, optimized geometry)
data_Na2LaCd
_symmetry_space_group_name_H-M 'I -4 2 d'
_symmetry_Int_Tables_number 122
_symmetry_space_group_name_Hall 'I -4 2bw'
_cell_length_a 4.6415
_cell_length_b 4.6415
_cell_length_c 25.1909
_cell_angle_alpha 90.00
_cell_angle_beta 90.00
_cell_angle_gamma 90.00
loop_
_atom_site_label
_atom_site_fract_x
_atom_site_fract_y
_atom_site_fract_z
Na1 0.2182 0.2500 0.1250
La1 0.0000 0.0000 0.5000
Cd1 0.0000 0.0000 0.0000
# D(E_F)	1.32	states/eV/atom
# relative energy among the computed polymorphs	0.036	eV per atom
# total magnetization	0.75	μB per formula unit

---

(6)
# Zr2Co2Si (PBE, optimized geometry)
data_Zr2Co2Si
_symmetry_space_group_name_H-M 'C 1 2/m 1'
_symmetry_Int_Tables_number 12
_symmetry_space_group_name_Hall '-C 2y'
_cell_length_a 10.2002
_cell_length_b 3.3836
_cell_length_c 9.3324
_cell_angle_alpha 90.00
_cell_angle_beta 102.61
_cell_angle_gamma 90.00
loop_
_atom_site_label
_atom_site_fract_x
_atom_site_fract_y
_atom_site_fract_z
Zr1 0.1202 0.0000 0.3950
Zr2 0.1564 0.0000 0.0719
Co1 0.0219 0.5000 0.8539
Co2 0.1074 0.5000 0.6055
Si1 0.1531 0.0000 0.7676
# formation energy without anion corrections	-0.477	eV/atom
# D(E_F)	0.61	states/eV/atom
# relative energy among the computed polymorphs	0.121	eV per atom
# total magnetization	0.00	μB per formula unit